[1]
# MnAlPt2, relaxed, DFT PBE
# Space group ... R3m (160)
# Formation enthalpy at 0 K ... -0.367 eV per atom
# Calculated total energy ... -0.4862 Ry/atom
# Calculated density ... 13.39 Mg/m³
data_MnAlPt2
_space_group_name_H-M_alt 'P 1'
_space_group_IT_number 1
_space_group_name_Hall 'P 1'
_cell_length_a 8.8364
_cell_length_b 8.8364
_cell_length_c 8.8364
_cell_angle_alpha 18.16
_cell_angle_beta 18.16
_cell_angle_gamma 18.16
loop_
_atom_site_label
_atom_site_fract_x
_atom_site_fract_y
_atom_site_fract_z
Al1 0.4980 0.4980 0.4980
Mn1 0.7537 0.7537 0.7537
Pt1 0.2431 0.2431 0.2431
Pt2 0.0053 0.0053 0.0053

***

[2]
# LiPuMg, relaxed, DFT PBE
# Space group ... I4mm (107)
# Formation enthalpy at 0 K ... 0.146 eV per atom
# Calculated total energy ... -0.4263 Ry/atom
# Polymorph energy (0 for the lowest one) ... 0.84 kcal/mol of atoms
# Calculated density ... 6.63 Mg/m³
data_LiPuMg
_space_group_name_H-M_alt 'P 1'
_space_group_IT_number 1
_space_group_name_Hall 'P 1'
_cell_length_a 3.0763
_cell_length_b 3.0763
_cell_length_c 7.6042
_cell_angle_alpha 101.67
_cell_angle_beta 101.67
_cell_angle_gamma 90.00
loop_
_atom_site_label
_atom_site_fract_x
_atom_site_fract_y
_atom_site_fract_z
Pu1 0.9991 0.9991 0.9982
Mg1 0.6776 0.6776 0.3552
Li1 0.3233 0.3233 0.6465

***

[3]
# ScAlHg4, relaxed, DFT PBE
# Space group ... F-43m (216)
# Formation enthalpy at 0 K ... 0.200 eV per atom
# Calculated total energy ... -0.1235 Ry/atom
# Calculated density ... 10.16 Mg/m³
data_ScAlHg4
_space_group_name_H-M_alt 'P 1'
_space_group_IT_number 1
_space_group_name_Hall 'P 1'
_cell_length_a 5.8680
_cell_length_b 5.8680
_cell_length_c 5.8680
_cell_angle_alpha 60.00
_cell_angle_beta 60.00
_cell_angle_gamma 60.00
loop_
_atom_site_label
_atom_site_fract_x
_atom_site_fract_y
_atom_site_fract_z
Hg1 0.8744 0.3752 0.3752
Hg2 0.3752 0.3752 0.3752
Hg3 0.3752 0.8744 0.3752
Hg4 0.3752 0.3752 0.8744
Al1 0.0000 0.0000 0.0000
Sc1 0.7500 0.7500 0.7500